Density functional theory data (GGA-PBE) for crystalline Fe2SiAs at its relaxed geometry.

Summary:
Fermi-level density of states in states/eV per atom: 1.128
Space group: No. 119
Total moment in μB per atom: 0.890
Total DFT energy (no corrections) in eV/atom: -6.649
Uncorrected formation energy in kJ/mol of formula units: 39

a = 4.7121 Å, b = 4.7121 Å, c = 4.7121 Å
α = 135.86°, β = 135.86°, γ = 64.19°
Last column: magnetic moment on the atom in μB.
Fractional positions:
As: 0.7500 0.2500 0.5000  0.01
Fe: 0.0000 0.0000 0.0000  1.84
Fe: 0.2500 0.7500 0.5000  1.78
Si: 0.5000 0.5000 0.0000  -0.02